Entry 1:
Here is a relaxed structure of InPtAu2F from Alexandria. Energies are from GGA-PBE.

a = 4.6313 Å, b = 4.6313 Å, c = 4.3757 Å
α = 90.00°, β = 90.00°, γ = 90.00°
Fractional coordinates of all 5 atoms:
In  0.0000  0.0000  0.0000
Pt  0.5000  0.5000  0.0000
Au  0.0000  0.5000  0.5000
Au  0.5000  0.0000  0.5000
F  0.0000  0.0000  0.5000

Output
- Total DFT energy (no corrections): -16.46 eV/cell
- Space-group type: P4/mmm
- Calculated density: 12.8 g/cm3


Entry 2:
Here is a relaxed structure of VSi2Ni7Ge2 from Alexandria. Energies are from GGA-PBE.

a = 3.4860 Å, b = 3.4860 Å, c = 13.4462 Å
α = 92.61°, β = 92.61°, γ = 90.67°
Fractional coordinates of all 12 atoms:
V  0.0000  0.0000  0.0000
Si  0.4522  0.4522  0.7515
Si  0.5478  0.5478  0.2485
Ni  0.0252  0.5242  0.1356
Ni  0.3797  0.3797  0.5847
Ni  0.4758  0.9748  0.8644
Ni  0.5000  0.5000  0.0000
Ni  0.5242  0.0252  0.1356
Ni  0.6203  0.6203  0.4153
Ni  0.9748  0.4758  0.8644
Ge  0.1339  0.1339  0.4116
Ge  0.8661  0.8661  0.5884

Output
- Total DFT energy (no corrections): -71.53 eV/cell
- Space-group type: C2/m
- Calculated density: 6.8 g/cm3


Entry 3:
Here is a relaxed structure of NaMgSnCl5 from Alexandria. Energies are from GGA-PBE.

a = 7.1757 Å, b = 7.1757 Å, c = 10.0988 Å
α = 107.42°, β = 107.42°, γ = 90.19°
Fractional coordinates of all 16 atoms:
Na  0.0271  0.9729  0.7500
Na  0.9729  0.0271  0.2500
Mg  0.0000  0.5000  0.0000
Mg  0.5000  0.0000  0.5000
Sn  0.4409  0.5591  0.7500
Sn  0.5591  0.4409  0.2500
Cl  0.1364  0.6559  0.8510
Cl  0.2448  0.2609  0.9915
Cl  0.2498  0.7502  0.2500
Cl  0.2609  0.2448  0.4915
Cl  0.3441  0.8636  0.6490
Cl  0.6559  0.1364  0.3510
Cl  0.7391  0.7552  0.5085
Cl  0.7502  0.2498  0.7500
Cl  0.7552  0.7391  0.0085
Cl  0.8636  0.3441  0.1490

Output
- Total DFT energy (no corrections): -55.73 eV/cell
- Space-group type: C2/c
- Calculated density: 2.4 g/cm3


Entry 4:
Here is a relaxed structure of Na2SmCd from Alexandria. Energies are from GGA-PBE.

a = 12.3815 Å, b = 12.3815 Å, c = 12.3815 Å
α = 15.86°, β = 15.86°, γ = 15.86°
Fractional coordinates of all 4 atoms:
Na  0.0929  0.0929  0.0929
Na  0.9071  0.9071  0.9071
Sm  0.0000  0.0000  0.0000
Cd  0.5000  0.5000  0.5000

Output
- Total DFT energy (no corrections): -7.65 eV/cell
- Space-group type: R-3m
- Energy of formation from the pure elements: 156 meV/atom
- Calculated density: 4.2 g/cm3


Entry 5:
Here is a relaxed structure of ZnGeRh2S from Alexandria. Energies are from GGA-PBE.

a = 4.7026 Å, b = 4.7026 Å, c = 4.2664 Å
α = 90.00°, β = 90.00°, γ = 90.00°
Fractional coordinates of all 5 atoms:
Zn  0.0000  0.0000  0.0000
Ge  0.5000  0.5000  0.5000
Rh  0.0000  0.5000  0.0000
Rh  0.5000  0.0000  0.0000
S  0.0000  0.0000  0.5000

Output
- Total DFT energy (no corrections): -20.55 eV/cell
- Space-group type: P4/mmm
- Calculated density: 6.6 g/cm3


Entry 6:
Here is a relaxed structure of BeNi2 from Alexandria. Energies are from GGA-PBE.

a = 4.2406 Å, b = 4.2406 Å, c = 4.2406 Å
α = 104.87°, β = 104.87°, γ = 119.12°
Fractional coordinates of all 6 atoms:
Be  0.2500  0.2500  0.0000
Be  0.7500  0.7500  0.0000
Ni  0.1602  0.6602  0.8203
Ni  0.3398  0.1602  0.5000
Ni  0.6602  0.8398  0.5000
Ni  0.8398  0.3398  0.1797

Output
- Total DFT energy (no corrections): -32.14 eV/cell
- Space-group type: I4/mcm
- Energy of formation from the pure elements: -261 meV/atom
- Calculated density: 7.3 g/cm3